LiTlInF6: optimized geometry, GGA-PBE.

Output
Formation energy without anion corrections: -2335 meV/atom
Theoretical density: 5.436 g/cm3
D(E_F): 0.45 states/eV per atom
M_tot: 0.0 μB/cell
Space group: P312, No. 149

a = 5.4957 Å, b = 5.4957 Å, c = 5.1402 Å
α = 90.00°, β = 90.00°, γ = 120.00°
Last column: nearest neighbours and their distance in Å.
Fractional positions:
Li: 0.0000 0.0000 0.0000  6 F 2.09
Tl: 0.3333 0.6667 0.5000  6 F 2.44
In: 0.6667 0.3333 0.0000  6 F 2.11
F: 0.3295 0.0226 0.2203  1 Li 2.09, 1 In 2.11
F: 0.3295 0.3069 0.7797  1 Li 2.09, 1 In 2.11
F: 0.6931 0.0226 0.7797  1 Li 2.09, 1 In 2.11
F: 0.6931 0.6705 0.2203  1 Li 2.09, 1 In 2.11
F: 0.9774 0.3069 0.2203  1 Li 2.09, 1 In 2.11
F: 0.9774 0.6705 0.7797  1 Li 2.09, 1 In 2.11